*one*
LiNd2 (PBE-GGA, relaxed); magnetization = 2.23 μB/cell
1.0
0.000 6.013 6.013
6.013 0.000 6.013
6.013 6.013 0.000
Li Nd
2 4
Cartesian
1.503 1.503 1.503
10.522 10.522 10.522
0.000 0.000 0.000
3.006 3.006 0.000
3.006 0.000 3.006
0.000 3.006 3.006

***

*two*
LiNd2 (PBE-GGA, relaxed); magnetization = 1.63 μB/cell
1.0
0.000 3.634 3.634
3.634 0.000 3.634
3.634 3.634 0.000
Li Nd
1 2
Cartesian
0.000 0.000 0.000
1.817 1.817 1.817
5.451 5.451 5.451

***

*three*
LiNd2 (PBE-GGA, relaxed); magnetization = 0.03 μB/cell
1.0
0.000 4.716 4.716
4.716 0.000 4.716
4.716 4.716 0.000
Li Nd
2 4
Cartesian
1.179 1.179 1.179
8.254 8.254 8.254
4.716 2.358 2.358
2.358 4.716 2.358
2.358 2.358 4.716
4.716 4.716 4.716

***

The structure with the most favorable energy is *three*; the runner-up is 18 meV/atom above it.

***

*one*
Li2Nd2O5 (PBE-GGA, relaxed); magnetization = 2.00 μB/cell
1.0
3.763 0.000 0.000
0.000 3.763 0.000
0.000 0.000 7.145
Li Nd O
2 2 5
Cartesian
0.000 0.000 1.777
0.000 0.000 5.368
1.882 1.882 0.000
1.882 1.882 3.572
0.000 0.000 3.572
0.000 1.882 1.543
0.000 1.882 5.601
1.882 0.000 1.543
1.882 0.000 5.601

***

*two*
Li2Nd2O5 (PBE-GGA, relaxed); magnetization = 2.00 μB/cell
1.0
4.228 0.000 0.000
0.000 4.228 0.000
0.000 0.000 8.305
Li Nd O
2 2 5
Cartesian
0.000 0.000 0.000
0.000 0.000 4.152
2.114 2.114 1.888
2.114 2.114 6.417
0.000 2.114 1.115
0.000 2.114 7.190
2.114 0.000 1.115
2.114 0.000 7.190
2.114 2.114 4.152

***

The structure with the most favorable energy is *one*; the runner-up is 317 meV/atom above it.

***

*one*
LiNdP4O12 (PBE-GGA, relaxed); magnetization = 0.01 μB/cell
1.0
8.182 -3.477 0.000
8.182 3.477 0.000
-5.871 0.000 7.907
Li Nd P O
2 2 8 24
Cartesian
0.000 0.000 0.000
-2.935 0.000 3.954
3.779 1.954 5.930
6.714 -1.954 1.977
0.336 2.271 7.213
4.018 0.467 2.676
7.221 2.271 4.647
1.082 -0.467 6.629
9.411 0.467 1.278
3.271 -2.271 3.260
6.475 -0.467 5.232
10.157 -2.271 0.694
0.839 0.854 1.636
6.414 2.817 0.686
3.795 1.677 3.539
3.391 0.707 1.214
7.015 2.817 3.268
0.118 0.685 7.232
-2.097 -0.854 5.589
0.455 -0.707 5.168
9.633 1.677 0.415
3.054 -0.685 3.279
2.466 0.017 6.381
5.401 -0.017 2.427
5.092 0.017 5.480
8.027 -0.017 1.527
7.439 0.685 4.629
0.860 -1.677 7.492
10.038 0.707 2.739
12.590 0.854 2.318
10.374 -0.685 0.675
3.478 -2.817 4.639
7.102 -0.707 6.693
6.698 -1.677 4.368
4.079 -2.817 7.222
9.654 -0.854 6.272

***

*two*
LiNdP4O12 (PBE-GGA, relaxed); magnetization = 0.00 μB/cell
1.0
8.158 -3.494 0.000
8.158 3.494 0.000
-5.689 0.000 7.823
Li Nd P O
2 2 8 24
Cartesian
3.892 2.083 5.867
6.736 -2.083 1.956
6.736 1.412 1.956
3.892 -1.412 5.867
1.325 0.410 1.282
3.419 1.088 3.159
-1.519 -0.410 5.194
10.053 1.088 0.752
0.574 -1.088 7.071
12.147 0.410 2.629
7.209 -1.088 4.664
9.303 -0.410 6.541
-0.695 0.815 4.575
-0.107 0.026 1.552
-2.952 -0.026 5.463
0.857 1.903 7.406
1.966 0.575 2.747
4.441 0.783 2.113
2.149 -0.815 0.664
-0.879 -0.575 6.659
3.655 0.666 4.579
6.926 1.903 4.328
4.128 0.666 7.156
1.596 -0.783 6.025
9.031 0.783 1.799
6.500 -0.666 0.667
3.701 -1.903 3.495
6.973 -0.666 3.244
11.507 0.575 1.164
8.478 0.815 7.159
6.187 -0.783 5.710
8.662 -0.575 5.076
9.771 -1.903 0.417
13.580 0.026 2.360
10.735 -0.026 6.271
11.323 -0.815 3.248

***

The structure with the most favorable energy is *two*; the runner-up is 77 meV/atom above it.